# 1
# DyTl2GaS4 PBE-GGA optimized geometry
# Formation energy (no corrections)   -0.85 eV per atom
data_DyTl2GaS4
_space_group_name_H-M_alt 'I m m a'
_space_group_IT_number 74
_space_group_name_Hall '-I 2b 2'
_cell_length_a 8.0368
_cell_length_b 8.2854
_cell_length_c 11.6366
_cell_angle_alpha 90.00
_cell_angle_beta 90.00
_cell_angle_gamma 90.00
loop_
_atom_site_label
_atom_site_type_symbol
_atom_site_fract_x
_atom_site_fract_y
_atom_site_fract_z
Dy1 Dy 0.0000 0.0000 0.0000
Tl1 Tl 0.0000 0.0000 0.5000
Tl2 Tl 0.2500 0.2500 0.2500
Ga1 Ga 0.2500 0.2500 0.7500
S1 S 0.0000 0.0465 0.7615
S2 S 0.2232 0.2500 0.9758

***

# 2
# Dy8GaSb2 PBE-GGA optimized geometry
# Formation energy (no corrections)   -0.44 eV per atom
data_Dy8GaSb2
_space_group_name_H-M_alt 'C 1 2/m 1'
_space_group_IT_number 12
_cell_length_a 18.9281
_cell_length_b 4.8700
_cell_length_c 6.9761
_cell_angle_alpha 90.00
_cell_angle_beta 100.66
_cell_angle_gamma 90.00
loop_
_space_group_symop_operation_xyz
'x,y,z'
'-x,-y,-z'
'-x,y,-z'
'x,-y,z'
'x+1/2,y+1/2,z'
'-x+1/2,-y+1/2,-z'
'-x+1/2,y+1/2,-z'
'x+1/2,-y+1/2,z'
loop_
_atom_site_label
_atom_site_type_symbol
_atom_site_fract_x
_atom_site_fract_y
_atom_site_fract_z
Dy1 Dy 0.0149 0.0000 0.2689
Dy2 Dy 0.0928 0.5000 0.9854
Dy3 Dy 0.1567 0.5000 0.5225
Dy4 Dy 0.2155 0.0000 0.8435
Ga1 Ga 0.0000 0.5000 0.5000
Sb1 Sb 0.1804 0.0000 0.2694

***

# 3
# DyGaSb PBE-GGA optimized geometry
# Excess energy over the best structure of this formula in the dataset   31 meV/atom
# Formation energy (no corrections)   -0.45 eV per atom
data_DyGaSb
_space_group_name_H-M_alt 'I 4 m m'
_space_group_IT_number 107
_space_group_name_Hall 'I 4 -2'
_cell_length_a 3.7616
_cell_length_b 3.7616
_cell_length_c 10.2454
_cell_angle_alpha 90.00
_cell_angle_beta 90.00
_cell_angle_gamma 90.00
loop_
_atom_site_label
_atom_site_type_symbol
_atom_site_fract_x
_atom_site_fract_y
_atom_site_fract_z
Dy1 Dy 0.0000 0.0000 0.0000
Ga1 Ga 0.0000 0.0000 0.3157
Sb1 Sb 0.0000 0.0000 0.6865

***

# 4
# Dy5Ga2Sb2 PBE-GGA optimized geometry
# Formation energy (no corrections)   -0.83 eV per atom
data_Dy5Ga2Sb2
_space_group_name_H-M_alt 'C m c e'
_space_group_IT_number 64
_space_group_name_Hall '-C 2ac 2'
_cell_length_a 15.3686
_cell_length_b 7.9213
_cell_length_c 7.9215
_cell_angle_alpha 90.00
_cell_angle_beta 90.00
_cell_angle_gamma 90.00
loop_
_atom_site_label
_atom_site_type_symbol
_atom_site_fract_x
_atom_site_fract_y
_atom_site_fract_z
Dy1 Dy 0.0000 0.0000 0.0000
Dy2 Dy 0.1310 0.1708 0.3310
Ga1 Ga 0.0000 0.1240 0.6228
Sb1 Sb 0.2057 0.0000 0.0000

***

# 5
# Dy5GaSb2 PBE-GGA optimized geometry
# Formation energy (no corrections)   -0.39 eV per atom
data_Dy5GaSb2
_space_group_name_H-M_alt 'C m c m'
_space_group_IT_number 63
_space_group_name_Hall '-C 2c 2'
_cell_length_a 5.9390
_cell_length_b 12.1005
_cell_length_c 14.2216
_cell_angle_alpha 90.00
_cell_angle_beta 90.00
_cell_angle_gamma 90.00
loop_
_atom_site_label
_atom_site_type_symbol
_atom_site_fract_x
_atom_site_fract_y
_atom_site_fract_z
Dy1 Dy 0.0000 0.0675 0.1139
Dy2 Dy 0.0000 0.3292 0.7500
Dy3 Dy 0.0000 0.3733 0.0709
Ga1 Ga 0.0000 0.2444 0.2500
Sb1 Sb 0.0000 0.1830 0.5785

***

# 6
# DyGa2Sb PBE-GGA optimized geometry
# Formation energy (no corrections)   -0.51 eV per atom
data_DyGa2Sb
_space_group_name_H-M_alt 'P 4/m m m'
_space_group_IT_number 123
_space_group_name_Hall '-P 4 2'
_cell_length_a 4.5310
_cell_length_b 4.5310
_cell_length_c 4.3429
_cell_angle_alpha 90.00
_cell_angle_beta 90.00
_cell_angle_gamma 90.00
loop_
_atom_site_label
_atom_site_type_symbol
_atom_site_fract_x
_atom_site_fract_y
_atom_site_fract_z
Dy1 Dy 0.0000 0.0000 0.0000
Ga1 Ga 0.0000 0.5000 0.5000
Sb1 Sb 0.5000 0.5000 0.0000

***

# 7
# DyGaSb2 PBE-GGA optimized geometry
# Excess energy over the best structure of this formula in the dataset   117 meV/atom
# Formation energy (no corrections)   -0.33 eV per atom
data_DyGaSb2
_space_group_name_H-M_alt 'R -3 m'
_space_group_IT_number 166
_space_group_name_Hall '-R 3 2"'
_cell_length_a 4.1243
_cell_length_b 4.1243
_cell_length_c 22.4392
_cell_angle_alpha 90.00
_cell_angle_beta 90.00
_cell_angle_gamma 120.00
loop_
_atom_site_label
_atom_site_type_symbol
_atom_site_fract_x
_atom_site_fract_y
_atom_site_fract_z
Dy1 Dy 0.0000 0.0000 0.0000
Ga1 Ga 0.0000 0.0000 0.5000
Sb1 Sb 0.0000 0.0000 0.2433

***

# 8
# Dy3GaSb PBE-GGA optimized geometry
# Formation energy (no corrections)   -0.27 eV per atom
data_Dy3GaSb
_space_group_name_H-M_alt 'P -1'
_space_group_IT_number 2
_cell_length_a 4.0903
_cell_length_b 8.9198
_cell_length_c 10.2593
_cell_angle_alpha 108.12
_cell_angle_beta 90.07
_cell_angle_gamma 103.22
loop_
_space_group_symop_operation_xyz
'x,y,z'
'-x,-y,-z'
loop_
_atom_site_label
_atom_site_type_symbol
_atom_site_fract_x
_atom_site_fract_y
_atom_site_fract_z
Dy1 Dy 0.0195 0.0392 0.1865
Dy2 Dy 0.1796 0.3587 0.5538
Dy3 Dy 0.3425 0.6853 0.9443
Ga1 Ga 0.3610 0.7220 0.6632
Sb1 Sb 0.1564 0.3139 0.8333

***

# 9
# DyGaSb PBE-GGA optimized geometry
# Excess energy over the best structure of this formula in the dataset   0 meV/atom
# Formation energy (no corrections)   -0.48 eV per atom
data_DyGaSb
_space_group_name_H-M_alt 'R -3 m'
_space_group_IT_number 166
_space_group_name_Hall '-R 3 2"'
_cell_length_a 4.3039
_cell_length_b 4.3039
_cell_length_c 28.2108
_cell_angle_alpha 90.00
_cell_angle_beta 90.00
_cell_angle_gamma 120.00
loop_
_atom_site_label
_atom_site_type_symbol
_atom_site_fract_x
_atom_site_fract_y
_atom_site_fract_z
Dy1 Dy 0.0000 0.0000 0.0705
Ga1 Ga 0.0000 0.0000 0.3429
Sb1 Sb 0.0000 0.0000 0.1974

***

# 10
# Dy8Ga2Sb PBE-GGA optimized geometry
# Formation energy (no corrections)   -0.37 eV per atom
data_Dy8Ga2Sb
_space_group_name_H-M_alt 'C 1 2/m 1'
_space_group_IT_number 12
_cell_length_a 19.1138
_cell_length_b 4.9078
_cell_length_c 6.8154
_cell_angle_alpha 90.00
_cell_angle_beta 102.59
_cell_angle_gamma 90.00
loop_
_space_group_symop_operation_xyz
'x,y,z'
'-x,-y,-z'
'-x,y,-z'
'x,-y,z'
'x+1/2,y+1/2,z'
'-x+1/2,-y+1/2,-z'
'-x+1/2,y+1/2,-z'
'x+1/2,-y+1/2,z'
loop_
_atom_site_label
_atom_site_type_symbol
_atom_site_fract_x
_atom_site_fract_y
_atom_site_fract_z
Dy1 Dy 0.0320 0.0000 0.2606
Dy2 Dy 0.0937 0.5000 0.9636
Dy3 Dy 0.1624 0.5000 0.4810
Dy4 Dy 0.2136 0.0000 0.8234
Ga1 Ga 0.1875 0.0000 0.2520
Sb1 Sb 0.0000 0.5000 0.5000

***

# 11
# Dy8Ga3Sb2 PBE-GGA optimized geometry
# Formation energy (no corrections)   -0.51 eV per atom
data_Dy8Ga3Sb2
_space_group_name_H-M_alt 'C m m m'
_space_group_IT_number 65
_space_group_name_Hall '-C 2 2'
_cell_length_a 10.0296
_cell_length_b 14.7877
_cell_length_c 4.9478
_cell_angle_alpha 90.00
_cell_angle_beta 90.00
_cell_angle_gamma 90.00
loop_
_atom_site_label
_atom_site_type_symbol
_atom_site_fract_x
_atom_site_fract_y
_atom_site_fract_z
Dy1 Dy 0.0000 0.1137 0.0000
Dy2 Dy 0.0000 0.3778 0.0000
Dy3 Dy 0.2433 0.3814 0.5000
Ga1 Ga 0.0000 0.5000 0.5000
Ga2 Ga 0.2441 0.0000 0.0000
Sb1 Sb 0.0000 0.2402 0.5000

***

# 12
# DyGaSb PBE-GGA optimized geometry
# Excess energy over the best structure of this formula in the dataset   32 meV/atom
# Formation energy (no corrections)   -0.45 eV per atom
data_DyGaSb
_space_group_name_H-M_alt 'P 3 m 1'
_space_group_IT_number 156
_cell_length_a 4.7204
_cell_length_b 4.7204
_cell_length_c 3.9042
_cell_angle_alpha 90.00
_cell_angle_beta 90.00
_cell_angle_gamma 120.00
loop_
_space_group_symop_operation_xyz
'x,y,z'
'-y,x-y,z'
'-x+y,-x,z'
'-y,-x,z'
'-x+y,y,z'
'x,x-y,z'
loop_
_atom_site_label
_atom_site_type_symbol
_atom_site_fract_x
_atom_site_fract_y
_atom_site_fract_z
Dy1 Dy 0.0000 0.0000 0.0000
Ga1 Ga 0.3333 0.6667 0.3983
Sb1 Sb 0.6667 0.3333 0.5369

***

The records above give, respectively, magnetic moment values of 0.00 0.00 0.00 0.00 0.00 0.00 0.00 0.34 0.00 0.00 0.00 0.00 Bohr magnetons per cell.
The records above give, respectively, mass density values of 6594 8478 8109 8234 7316 7891 7170 6531 7793 8310 7932 7802 kg/m3.